# VSN2F

A relaxed structure of VSN2F (PBE+U, the Alexandria database).

Energy above the lowest structure with this stoichiometry = 288.3 meV/atom
SG = P4/mmm
VASP energy = -5.159 eV per atom
N(E_F) = 0.82 states/eV per cell

a b c (Å): 3.654 3.654 4.042
angles (deg): 90.00 90.00 90.00
Positions (direct):
V 0.000 0.000 0.000
S 0.500 0.500 0.500
N 0.000 0.500 0.500
N 0.500 0.000 0.500
F 0.500 0.500 0.000